Model 1:
Here is a geometry-optimized Tm8AgPd2 structure from Alexandria. Energies are from PBE-GGA.

V ... 25.91 Å³ per atom
Spin magnetization ... 0.00 μB/cell

Cell lengths 5.018, 6.770, 9.066 Å; angles 105.03, 106.07, 90.00 degrees
Element x y z (fractional)
Tm: 0.407 0.534 0.814
Tm: 0.202 0.326 0.403
Tm: 0.593 0.466 0.186
Tm: 0.798 0.674 0.597
Tm: 0.967 0.226 0.934
Pd: 0.186 0.724 0.373
Tm: 0.671 0.978 0.342
Ag: 0.500 0.000 0.000
Pd: 0.814 0.276 0.627
Tm: 0.329 0.022 0.658
Tm: 0.033 0.774 0.066

Model 2:
Here is a geometry-optimized Tm8AgPd2 structure from Alexandria. Energies are from PBE-GGA.

V ... 26.66 Å³ per atom
Spin magnetization ... 0.00 μB/cell

Cell lengths 5.498, 7.837, 7.837 Å; angles 115.06, 98.82, 98.82 degrees
Element x y z (fractional)
Tm: 0.000 0.235 0.771
Tm: 0.405 0.671 0.921
Tm: 0.594 0.335 0.085
Tm: 0.405 0.921 0.671
Tm: 0.000 0.771 0.235
Pd: 0.500 0.306 0.700
Pd: 0.500 0.700 0.306
Tm: 0.594 0.085 0.335
Tm: 0.811 0.624 0.624
Tm: 0.188 0.383 0.383
Ag: 0.004 0.003 0.003

Most stable structure - model 1; separation to the second - 99 meV/atom.